A plane-wave DFT calculation with PBE was carried out for an optimized crystal structure of Rb2NaTiH6.

Values from the calculation:
Fermi-level density of states   5.95 states/eV/f.u.
VASP energy   -3.28 eV/atom
Space group   Immm

Unit cell a=6.042 b=6.038 c=8.550 alpha=90.00 beta=90.00 gamma=90.00
Site moments in Bohr magnetons follow the coordinates.
Atoms (fractional coordinates):
H 0.000 0.750 0.222  -0.01
H 0.724 0.470 0.500  -0.01
Na 0.500 0.250 0.000  0.00
Ti 0.000 0.750 0.000  0.83
H 0.777 0.971 0.000  -0.01
Rb 0.500 0.750 0.749  0.01
H 0.776 0.530 0.000  -0.01
H 0.723 0.029 0.500  -0.01
H 0.500 0.250 0.278  -0.01
H 0.277 0.029 0.500  -0.01
Na 0.000 0.750 0.500  0.00
Ti 0.500 0.250 0.500  0.83
Rb 0.500 0.750 0.251  0.01
H 0.223 0.971 0.000  -0.01
Rb 0.000 0.250 0.249  0.01
H 0.224 0.530 0.000  -0.01
Rb 0.000 0.250 0.751  0.01
H 0.276 0.470 0.500  -0.01
H 0.000 0.750 0.778  -0.01
H 0.500 0.250 0.722  -0.01